Arrangement a

DyEr2Ag2: relaxed, PBE.

The space group is P2_1/m (No. 11) and the conventional cell measures 3.606, 5.222 and 13.453 Å, with angles of 90.00, 97.69 and 90.00 degrees. Symmetry generates all atoms from Dy at (0.146, 0.250, 0.291), Er at (0.047, 0.750, 0.095), Er at (0.235, 0.750, 0.469), Ag at (0.358, 0.250, 0.716) and Ag at (0.453, 0.750, 0.907).

The density of states at the Fermi level comes out at 0.8038 states/eV/atom.


Arrangement b

DyEr2Ag2: relaxed, PBE.

The space group is P2_1/m (No. 11) and the conventional cell measures 6.304, 4.996 and 8.123 Å, with angles of 90.00, 96.06 and 90.00 degrees. Symmetry generates all atoms from Dy at (0.188, 0.250, 0.247), Er at (0.339, 0.750, 0.947), Er at (0.400, 0.250, 0.643), Ag at (0.071, 0.250, 0.886) and Ag at (0.136, 0.750, 0.481).

The density of states at the Fermi level comes out at 0.9977 states/eV/atom.


The calculated energies rank the structures as follows, beginning with the most stable: arrangement a, arrangement b.


Arrangement a

DyEr3Ag2: relaxed, PBE.

The space group is Ibam (No. 72) and the conventional cell measures 6.997, 13.876 and 7.339 Å, with angles of 90.00, 90.00 and 90.00 degrees. Symmetry generates all atoms from Dy at (0.000, 0.000, 0.000), Er at (0.000, 0.229, 0.250), Er at (0.000, 0.500, 0.250) and Ag at (0.200, 0.358, 0.000).

The density of states at the Fermi level comes out at 1.2219 states/eV/atom.


Arrangement b

DyEr3Ag2: relaxed, PBE.

The space group is P4/mmm (No. 123) and the conventional cell measures 3.588, 3.588 and 12.175 Å, with angles of 90.00, 90.00 and 90.00 degrees. Symmetry generates all atoms from Dy at (0.000, 0.000, 0.000), Er at (0.500, 0.500, 0.202), Er at (0.500, 0.500, 0.500) and Ag at (0.000, 0.000, 0.351).

The density of states at the Fermi level comes out at 0.9138 states/eV/atom.


The calculated energies rank the structures as follows, beginning with the most stable: arrangement b, arrangement a.


Arrangement a

NdDyErAg: relaxed, PBE.

The space group is F-43m (No. 216) and the conventional cell measures 7.666, 7.666 and 7.666 Å, with angles of 90.00, 90.00 and 90.00 degrees. Symmetry generates all atoms from Nd at (0.000, 0.000, 0.000), Dy at (0.000, 0.000, 0.500), Er at (0.250, 0.250, 0.250) and Ag at (0.250, 0.250, 0.750).

The density of states at the Fermi level comes out at 0.9492 states/eV/atom.


Arrangement b

NdDyErAg: relaxed, PBE.

The space group is P4mm (No. 99) and the conventional cell measures 3.633, 3.633 and 8.632 Å, with angles of 90.00, 90.00 and 90.00 degrees. Symmetry generates all atoms from Nd at (0.000, 0.000, 0.000), Dy at (0.500, 0.500, 0.706), Er at (0.500, 0.500, 0.292) and Ag at (0.000, 0.000, 0.494).

The density of states at the Fermi level comes out at 1.4129 states/eV/atom.


The calculated energies rank the structures as follows, beginning with the most stable: arrangement b, arrangement a.


Arrangement a

DyErAgRh: relaxed, PBE.

The space group is F-43m (No. 216) and the conventional cell measures 7.022, 7.022 and 7.022 Å, with angles of 90.00, 90.00 and 90.00 degrees. Symmetry generates all atoms from Dy at (0.000, 0.000, 0.000), Er at (0.000, 0.000, 0.500), Ag at (0.250, 0.250, 0.750) and Rh at (0.250, 0.250, 0.250).

The density of states at the Fermi level comes out at 0.9111 states/eV/atom.


Arrangement b

DyErAgRh: relaxed, PBE.

The space group is P4mm (No. 99) and the conventional cell measures 3.490, 3.490 and 7.162 Å, with angles of 90.00, 90.00 and 90.00 degrees. Symmetry generates all atoms from Dy at (0.000, 0.000, 0.000), Er at (0.000, 0.000, 0.542), Ag at (0.500, 0.500, 0.275) and Rh at (0.500, 0.500, 0.768).

The density of states at the Fermi level comes out at 1.1510 states/eV/atom.


The calculated energies rank the structures as follows, beginning with the most stable: arrangement b, arrangement a.


Arrangement a

DyErScAg: relaxed, PBE.

The space group is F-43m (No. 216) and the conventional cell measures 7.415, 7.415 and 7.415 Å, with angles of 90.00, 90.00 and 90.00 degrees. Symmetry generates all atoms from Dy at (0.000, 0.000, 0.000), Er at (0.000, 0.000, 0.500), Sc at (0.250, 0.250, 0.750) and Ag at (0.250, 0.250, 0.250).

The density of states at the Fermi level comes out at 1.0079 states/eV/atom.


Arrangement b

DyErScAg: relaxed, PBE.

The space group is P4mm (No. 99) and the conventional cell measures 3.496, 3.496 and 8.484 Å, with angles of 90.00, 90.00 and 90.00 degrees. Symmetry generates all atoms from Dy at (0.000, 0.000, 0.000), Er at (0.000, 0.000, 0.543), Sc at (0.500, 0.500, 0.273) and Ag at (0.500, 0.500, 0.767).

The density of states at the Fermi level comes out at 1.4620 states/eV/atom.


The calculated energies rank the structures as follows, beginning with the most stable: arrangement b, arrangement a.


Arrangement a

SmDyErAg: relaxed, PBE.

The space group is F-43m (No. 216) and the conventional cell measures 7.630, 7.630 and 7.630 Å, with angles of 90.00, 90.00 and 90.00 degrees. Symmetry generates all atoms from Sm at (0.000, 0.000, 0.000), Dy at (0.000, 0.000, 0.500), Er at (0.250, 0.250, 0.250) and Ag at (0.250, 0.250, 0.750).

The density of states at the Fermi level comes out at 0.9200 states/eV/atom.


Arrangement b

SmDyErAg: relaxed, PBE.

The space group is P4mm (No. 99) and the conventional cell measures 3.581, 3.581 and 8.827 Å, with angles of 90.00, 90.00 and 90.00 degrees. Symmetry generates all atoms from Sm at (0.000, 0.000, 0.000), Dy at (0.500, 0.500, 0.709), Er at (0.500, 0.500, 0.289) and Ag at (0.000, 0.000, 0.494).

The density of states at the Fermi level comes out at 1.2757 states/eV/atom.


The calculated energies rank the structures as follows, beginning with the most stable: arrangement b, arrangement a.


Arrangement a

DyErTmAg: relaxed, PBE.

The space group is F-43m (No. 216) and the conventional cell measures 7.538, 7.538 and 7.538 Å, with angles of 90.00, 90.00 and 90.00 degrees. Symmetry generates all atoms from Dy at (0.000, 0.000, 0.000), Er at (0.000, 0.000, 0.500), Tm at (0.250, 0.250, 0.750) and Ag at (0.250, 0.250, 0.250).

The density of states at the Fermi level comes out at 0.8638 states/eV/atom.


Arrangement b

DyErTmAg: relaxed, PBE.

The space group is P4mm (No. 99) and the conventional cell measures 3.525, 3.525 and 8.799 Å, with angles of 90.00, 90.00 and 90.00 degrees. Symmetry generates all atoms from Dy at (0.000, 0.000, 0.000), Er at (0.500, 0.500, 0.714), Tm at (0.500, 0.500, 0.285) and Ag at (0.000, 0.000, 0.497).

The density of states at the Fermi level comes out at 1.1411 states/eV/atom.


The calculated energies rank the structures as follows, beginning with the most stable: arrangement b, arrangement a.